DFT (PBE-GGA) results for Na3SrLi2 after structural relaxation.

The density of states at the Fermi level comes out at 4.354 states/eV/f.u. The calculation puts the formation energy at 74 meV/atom.

The structure belongs to space group P6_3/mmc (No. 194); the cell edges are 5.6842, 5.6842 and 15.0664 Å and the angles 90.00°, 90.00° and 120.00°. Symmetry generates all atoms from Na at (0.0000, 0.0000, 0.0000), Na at (0.3333, 0.6667, 0.0946), Sr at (0.0000, 0.0000, 0.2500) and Li at (0.3333, 0.6667, 0.6361).